Below is an optimized crystal structure of CaNiMo, with properties calculated at the GGA-PBE level.

Energy of formation ... 208.6 meV per atom
Theoretical density ... 5.76 g/cm³

abc: 9.330 5.762 4.916
angles: 90.00 121.81 90.00
Space group Cm (No. 8)
Symmetry-distinct sites (fractional):
Ca 0.000 0.000 0.000 [2 per cell]
Ca 0.241 0.500 0.242 [2 per cell]
Ni 0.121 0.250 0.608 [4 per cell]
Mo 0.339 0.000 0.025 [2 per cell]
Mo 0.403 0.000 0.589 [2 per cell]